# 1
Density functional theory data (PBE) for a geometry-optimized Cs3NaMn2Cl8 structure.

Unit cell a=7.538 b=7.538 c=9.737 alpha=90.00 beta=90.00 gamma=120.00
Site moments in Bohr magnetons follow the coordinates.
Element x y z (fractional)
1 Cl 0.664 0.832 0.319  0.05
2 Cs 0.000 0.000 0.000  0.00
3 Cl 0.336 0.168 0.681  0.05
4 Mn 0.667 0.333 0.782  4.33
5 Cl 0.832 0.664 0.681  0.05
6 Cs 0.667 0.333 0.363  0.00
7 Mn 0.333 0.667 0.218  4.33
8 Cl 0.832 0.168 0.681  0.05
9 Cl 0.168 0.832 0.319  0.05
10 Cl 0.667 0.333 0.018  0.06
11 Cl 0.168 0.336 0.319  0.05
12 Cl 0.333 0.667 0.982  0.06
13 Na 0.000 0.000 0.500  0.01
14 Cs 0.333 0.667 0.637  0.00

Calculated values
Its space group is No. 164.

=====

# 2
Density functional theory data (PBE) for a geometry-optimized CsNaMn2Cl6 structure.

Unit cell a=9.400 b=9.400 c=7.452 alpha=101.62 beta=101.62 gamma=85.52
Site moments in Bohr magnetons follow the coordinates.
Element x y z (fractional)
1 Cl 0.407 0.893 0.706  0.06
2 Cl 0.878 0.836 0.475  0.07
3 Na 0.407 0.593 0.750  0.00
4 Cl 0.467 0.315 0.869  0.05
5 Cl 0.122 0.164 0.525  0.07
6 Cs 0.806 0.194 0.750  0.00
7 Cl 0.164 0.122 0.025  0.07
8 Cl 0.685 0.533 0.631  0.05
9 Na 0.593 0.407 0.250  0.00
10 Mn 0.124 0.310 0.293  4.38
11 Cl 0.107 0.593 0.794  0.06
12 Cl 0.593 0.107 0.294  0.06
13 Cs 0.194 0.806 0.250  0.00
14 Cl 0.533 0.685 0.131  0.05
15 Mn 0.310 0.124 0.793  4.38
16 Mn 0.876 0.690 0.707  4.38
17 Cl 0.893 0.407 0.206  0.06
18 Mn 0.690 0.876 0.207  4.38
19 Cl 0.836 0.878 0.975  0.07
20 Cl 0.315 0.467 0.369  0.05

Calculated values
Its space group is No. 15.

=====

# 3
Density functional theory data (PBE) for a geometry-optimized CsNaMn2Cl8 structure.

Unit cell a=6.742 b=6.742 c=9.772 alpha=90.00 beta=90.00 gamma=120.00
Site moments in Bohr magnetons follow the coordinates.
Element x y z (fractional)
1 Na 0.000 0.000 0.500  0.00
2 Cl 0.667 0.333 0.030  0.02
3 Cl 0.682 0.022 0.316  0.03
4 Mn 0.667 0.333 0.256  3.56
5 Cl 0.022 0.340 0.684  0.03
6 Cl 0.978 0.660 0.316  0.03
7 Cl 0.660 0.682 0.684  0.03
8 Cl 0.318 0.978 0.684  0.03
9 Mn 0.333 0.667 0.744  3.56
10 Cl 0.340 0.318 0.316  0.03
11 Cl 0.333 0.667 0.970  0.02
12 Cs 0.000 0.000 0.000  0.00

Calculated values
Its space group is No. 147.

=====

# 4
Density functional theory data (PBE) for a geometry-optimized CsNa2MnCl6 structure.

Unit cell a=7.958 b=7.213 c=8.453 alpha=59.76 beta=50.28 gamma=54.42
Site moments in Bohr magnetons follow the coordinates.
Element x y z (fractional)
1 Mn 0.326 0.344 0.992  3.66
2 Cl 0.525 0.383 0.170  0.03
3 Cl 0.950 0.562 0.223  -0.01
4 Na 0.935 0.028 0.993  0.00
5 Cl 0.230 0.262 0.799  0.06
6 Cs 0.794 0.712 0.677  0.00
7 Cl 0.330 0.695 0.749  -0.02
8 Cl 0.726 0.175 0.762  -0.01
9 Na 0.536 0.493 0.421  0.00
10 Cl 0.310 0.007 0.230  0.01

Calculated values
Its space group is No. 1.

=====

# 5
Density functional theory data (PBE) for a geometry-optimized Cs3NaMn2Cl9 structure.

Unit cell a=7.323 b=7.323 c=9.067 alpha=90.00 beta=90.00 gamma=120.00
Site moments in Bohr magnetons follow the coordinates.
Element x y z (fractional)
1 Cs 0.333 0.667 0.662  0.00
2 Cl 0.824 0.648 0.687  0.03
3 Cl 0.176 0.824 0.313  0.03
4 Mn 0.667 0.333 0.835  4.08
5 Cl 0.824 0.176 0.687  0.03
6 Na 0.000 0.000 0.500  0.01
7 Cs 0.667 0.333 0.338  0.00
8 Cl 0.500 0.500 0.000  0.00
9 Cl 0.352 0.176 0.687  0.03
10 Cl 0.000 0.500 0.000  0.00
11 Mn 0.333 0.667 0.165  4.08
12 Cl 0.500 0.000 0.000  0.00
13 Cl 0.648 0.824 0.313  0.03
14 Cl 0.176 0.352 0.313  0.03
15 Cs 0.000 0.000 0.000  0.00

Calculated values
Its space group is No. 164.

=====

Number 1: VASP energy -59.7 eV/cell, uncorrected formation energy -1.619 eV per atom. Number 2: VASP energy -91.8 eV/cell, uncorrected formation energy -1.429 eV per atom. Number 3: VASP energy -50.0 eV/cell, uncorrected formation energy -1.226 eV per atom. Number 4: VASP energy -38.6 eV/cell, uncorrected formation energy -1.481 eV per atom. Number 5: VASP energy -62.2 eV/cell, uncorrected formation energy -1.555 eV per atom.